Material: TaCdPb2
Method: DFT, meta-GGA SCAN
State: PBEsol geometry

a = 6.428 Å, b = 9.753 Å, c = 3.142 Å
α = 90.00°, β = 111.78°, γ = 90.00°
Space group C2/m (No. 12)
Asymmetric unit:
Ta1 0.000 0.000 0.000 (multiplicity 2)
Cd1 0.000 0.500 0.000 (multiplicity 2)
Pb1 0.250 0.250 0.500 (multiplicity 4)

Calculated values
Total energy, eV/f.u.: -246.28
E_form, meV/atom: 569